# Nd2BeCoO6

An optimized crystal structure of Nd2BeCoO6 (PBE with a Hubbard U, Alexandria via LeMat-Bulk).

a b c (Å): 5.340 5.240 9.130
angles (deg): 90.00 125.62 90.00
Space group P2_1/c (No. 14)
Unique sites:
1 Nd 0.248 0.001 0.250 (multiplicity 4)
2 Be 0.500 0.000 0.000 (multiplicity 2)
3 Co 0.000 0.000 0.500 (multiplicity 2)
4 O 0.219 0.248 0.970 (multiplicity 4)
5 O 0.221 0.750 0.470 (multiplicity 4)
6 O 0.309 0.000 0.753 (multiplicity 4)

Output
The calculation puts the raw total energy at -143.711 eV for the cell shown.